1.
BeRhCl GGA-PBE relaxed; calculated volume = 115.1 Å³ per cell; total DFT energy (no corrections) = -28.58 eV per cell; excess energy over the best structure of this formula in the dataset = 108.2 meV per atom; E_form (uncorrected) = -0.455 eV/atom; space group = No. 2; crystal system = triclinic
1.0
-2.7033 -8.8999 -1.8844
0.1733 -0.6569 2.8609
-4.0799 0.6610 0.3896
Cl Rh Be
2 2 2
Direct
0.0318 0.4786 0.0809
0.6921 0.9545 0.6302
0.3982 0.9670 0.0992
0.3258 0.4665 0.6122
0.1760 0.9788 0.0276
0.5480 0.4542 0.6838

=====

2.
BeRhCl GGA-PBE relaxed; calculated volume = 94.4 Å³ per cell; total DFT energy (no corrections) = -24.67 eV per cell; excess energy over the best structure of this formula in the dataset = 759.8 meV per atom; E_form (uncorrected) = 0.197 eV/atom; space group = No. 129; crystal system = tetragonal
1.0
3.9254 0.0000 0.0000
0.0000 3.9254 0.0000
0.0000 0.0000 6.1269
Rh Cl Be
2 2 2
Direct
0.5000 0.0000 0.9647
0.0000 0.5000 0.0353
0.5000 0.5000 0.5000
0.0000 0.0000 0.5000
0.5000 0.0000 0.3051
0.0000 0.5000 0.6949

=====

3.
Be2RhCl GGA-PBE relaxed; calculated volume = 60.9 Å³ per cell; total DFT energy (no corrections) = -15.93 eV per cell; excess energy over the best structure of this formula in the dataset = 654.5 meV per atom; E_form (uncorrected) = 0.179 eV/atom; space group = No. 35; crystal system = orthorhombic
1.0
2.8569 -0.0008 0.0000
-1.3994 2.4907 0.0000
0.0000 0.0000 8.5541
Be Cl Rh
2 1 1
Direct
0.5000 0.5000 0.2470
0.0000 0.0000 0.0173
0.0000 0.0000 0.4100
0.5000 0.5000 0.8257

=====

4.
Be3RhCl GGA-PBE relaxed; calculated volume = 79.9 Å³ per cell; total DFT energy (no corrections) = -17.91 eV per cell; excess energy over the best structure of this formula in the dataset = 0.0 meV per atom; E_form (uncorrected) = 0.494 eV/atom; space group = No. 221; crystal system = cubic
1.0
-0.1178 -3.1723 -2.9111
0.1059 -2.9135 3.1706
-4.3043 0.0151 0.1577
Be Cl Rh
3 1 1
Direct
0.5000 0.0000 0.0000
0.0000 0.0000 0.5000
0.0000 0.5000 0.0000
0.5000 0.5000 0.5000
0.0000 0.0000 0.0000

=====

5.
Be2RhCl GGA-PBE relaxed; calculated volume = 127.4 Å³ per cell; total DFT energy (no corrections) = -32.24 eV per cell; excess energy over the best structure of this formula in the dataset = 607.4 meV per atom; E_form (uncorrected) = 0.132 eV/atom; space group = No. 122; crystal system = tetragonal
1.0
-1.9433 1.6114 -4.5476
-4.8131 -0.3088 1.9474
-3.0764 5.1207 0.1546
Cl Rh Be
2 2 4
Direct
0.5000 0.5000 0.0000
0.2500 0.7500 0.5000
0.7500 0.2500 0.5000
0.0000 0.0000 0.0000
0.3750 0.3630 0.7500
0.1130 0.6250 0.2500
0.8750 0.8870 0.7500
0.6370 0.1250 0.2500

=====

6.
BeRh2Cl GGA-PBE relaxed; calculated volume = 125.9 Å³ per cell; total DFT energy (no corrections) = -42.50 eV per cell; excess energy over the best structure of this formula in the dataset = 45.3 meV per atom; E_form (uncorrected) = -0.244 eV/atom; space group = No. 1; crystal system = triclinic
1.0
-2.8925 0.0701 -0.4088
-0.5303 -0.1680 3.7212
-1.2903 11.4454 0.9173
Be Cl Rh
2 2 4
Direct
0.3109 0.2308 0.4795
0.5404 0.8055 0.0062
0.1078 0.8247 0.8652
0.7528 0.3550 0.5978
0.0359 0.3046 0.0147
0.9587 0.7768 0.1742
0.4074 0.2597 0.2800
0.8478 0.7422 0.4023

=====

7.
BeRhCl GGA-PBE relaxed; calculated volume = 47.5 Å³ per cell; total DFT energy (no corrections) = -13.40 eV per cell; excess energy over the best structure of this formula in the dataset = 406.0 meV per atom; E_form (uncorrected) = -0.157 eV/atom; space group = No. 156; crystal system = trigonal
1.0
-0.5339 1.5853 -2.3589
-1.1991 -2.6159 0.2859
-5.1724 2.6970 2.9833
Rh Cl Be
1 1 1
Direct
0.6667 0.3333 0.7537
0.3333 0.6667 0.2222
0.0000 0.0000 0.0241

=====

8.
BeRh2Cl GGA-PBE relaxed; calculated volume = 53.5 Å³ per cell; total DFT energy (no corrections) = -20.18 eV per cell; excess energy over the best structure of this formula in the dataset = 314.2 meV per atom; E_form (uncorrected) = 0.025 eV/atom; space group = No. 123; crystal system = tetragonal
1.0
-2.8437 -0.0408 -0.3248
0.2433 -2.1848 -1.8338
-0.5058 -4.2182 4.9586
Be Rh Cl
1 2 1
Direct
0.5000 0.5000 0.2500
0.0000 0.0000 0.0440
0.0000 0.0000 0.4560
0.5000 0.5000 0.7500

=====

> Among the records above, which one has the lowest E_form (uncorrected)?

number 1

=====

> Which value of E_form (uncorrected) does entry 6 give?

-0.244 eV/atom

=====

> Which of these has the lowest excess energy over the best structure of this formula in the dataset?

Be3RhCl

=====

> Number 3 is which compound?

Be2RhCl